Material: Tb3Nd3Er4
Method: DFT, PBE
State: relaxed

```
Tb3Nd3Er4
1.0
3.674 0.000 0.000
0.000 9.473 -0.059
0.000 0.024 9.474
Tb Nd Er
3 3 4
Direct
0.000 0.496 0.999
0.000 0.001 0.504
0.500 0.175 0.825
0.500 0.826 0.174
0.500 0.325 0.326
0.500 0.674 0.675
0.000 0.624 0.376
0.000 0.375 0.625
0.000 0.879 0.875
0.000 0.125 0.121
```

Total magnetic moment, μB per formula unit: 0.00

Material: KCrAs2
Method: DFT, PBE
State: relaxed

```
KCrAs2
1.0
-5.592 -6.371 -3.528
-4.309 -8.094 -0.479
-7.177 -5.724 -0.214
As Cr K
2 1 1
Direct
0.977 0.977 0.977
0.254 0.254 0.254
0.525 0.525 0.525
0.744 0.744 0.744
```

Total magnetic moment, μB per formula unit: 5.10

Material: Rb2BiAu2
Method: DFT, PBE
State: relaxed

```
Rb2BiAu2
1.0
7.684 0.000 0.000
0.000 7.684 0.000
0.000 0.000 5.635
Au Bi Rb
4 2 4
Direct
0.368 0.868 0.000
0.868 0.632 0.000
0.632 0.132 0.000
0.132 0.368 0.000
0.000 0.000 0.000
0.500 0.500 0.000
0.177 0.677 0.500
0.677 0.823 0.500
0.823 0.323 0.500
0.323 0.177 0.500
```

Total magnetic moment, μB per formula unit: 0.00

Values for DFT formation energy, kJ per mole of atoms, ordered as above
9, 47, -24